# Er2PuH | Alexandria | PBE-GGA | optimized geometry
data_Er2PuH
_chemical_formula_sum 'Er2 Pu1 H1'
_space_group_name_H-M_alt 'P 1'
_space_group_IT_number 1
_cell_length_a 3.397
_cell_length_b 3.397
_cell_length_c 9.417
_cell_angle_alpha 79.61
_cell_angle_beta 79.61
_cell_angle_gamma 60.00
loop_
_space_group_symop_operation_xyz
'x,y,z'
loop_
_atom_site_label
_atom_site_type_symbol
_atom_site_fract_x
_atom_site_fract_y
_atom_site_fract_z
Er1 Er 0.118 0.118 0.646
Er2 Er 0.882 0.882 0.354
H1 H 0.500 0.500 0.500
Pu1 Pu 0.000 0.000 0.000
# Offset from the most stable computed form: 0 meV/atom
# Magnetic moment: 6.2 μB per cell